First-principles (GGA-PBE) data for an optimized crystal structure of ScTcRu2, as listed in the Alexandria database.

Computed properties:
Energy above the lowest structure with this stoichiometry, meV per atom: 278.0
Crystal system: trigonal
Calculated volume, Å³/cell: 62.3
E_form, eV per formula unit: 0.66

a = 9.0761 Å, b = 9.0761 Å, c = 9.0761 Å
α = 17.99°, β = 17.99°, γ = 17.99°
With the nearest neighbours (Å) after each atom.
Fractional coordinates of all 4 atoms:
Ru1 0.0009 0.0009 0.0009  3 Tc 2.65, 9 Ru 2.73-2.84
Ru2 0.2527 0.2527 0.2527  9 Ru 2.73-2.84, 3 Sc 2.80
Sc1 0.5013 0.5013 0.5013  3 Ru 2.80, 6 Sc 2.84, 3 Tc 2.90
Tc1 0.7451 0.7451 0.7451  3 Ru 2.65, 6 Tc 2.84, 3 Sc 2.90

First-principles (GGA-PBE) data for an optimized crystal structure of ScTc2Ru2, as listed in the Alexandria database.

Computed properties:
Energy above the lowest structure with this stoichiometry, meV per atom: 0.0
Crystal system: tetragonal
Calculated volume, Å³/cell: 159.3
E_form, eV per formula unit: -0.12

a = 7.5657 Å, b = 7.5657 Å, c = 2.7836 Å
α = 90.00°, β = 90.00°, γ = 90.00°
With the nearest neighbours (Å) after each atom.
Fractional coordinates of all 10 atoms:
Sc1 0.0000 0.0000 0.0000  2 Sc 2.78, 4 Tc 3.01
Sc2 0.5000 0.5000 0.0000  2 Sc 2.78, 4 Tc 3.01
Ru1 0.1711 0.6711 0.5000  6 Tc 2.62-2.64, 2 Ru 2.78
Ru2 0.6711 0.8289 0.5000  6 Tc 2.62-2.64, 2 Ru 2.78
Ru3 0.8289 0.3289 0.5000  6 Tc 2.62-2.64, 2 Ru 2.78
Ru4 0.3289 0.1711 0.5000  6 Tc 2.62-2.64, 2 Ru 2.78
Tc1 0.3789 0.8789 0.0000  3 Tc 2.59-2.78, 6 Ru 2.62-2.64
Tc2 0.8789 0.6211 0.0000  3 Tc 2.59-2.78, 6 Ru 2.62-2.64
Tc3 0.6211 0.1211 0.0000  3 Tc 2.59-2.78, 6 Ru 2.62-2.64
Tc4 0.1211 0.3789 0.0000  3 Tc 2.59-2.78, 6 Ru 2.62-2.64

First-principles (GGA-PBE) data for an optimized crystal structure of ScTc2Ru2, as listed in the Alexandria database.

Computed properties:
Energy above the lowest structure with this stoichiometry, meV per atom: 8.1
Crystal system: tetragonal
Calculated volume, Å³/cell: 158.7
E_form, eV per formula unit: -0.08

a = 7.5442 Å, b = 7.5442 Å, c = 2.7889 Å
α = 90.00°, β = 90.00°, γ = 90.00°
With the nearest neighbours (Å) after each atom.
Fractional coordinates of all 10 atoms:
Sc1 0.0000 0.0000 0.0000  2 Sc 2.79, 4 Ru 2.99
Sc2 0.5000 0.5000 0.0000  2 Sc 2.79, 4 Ru 2.99
Ru1 0.3760 0.8760 0.0000  6 Tc 2.59-2.65, 3 Ru 2.65-2.79
Ru2 0.8760 0.6240 0.0000  6 Tc 2.59-2.65, 3 Ru 2.65-2.79
Ru3 0.6240 0.1240 0.0000  6 Tc 2.59-2.65, 3 Ru 2.65-2.79
Ru4 0.1240 0.3760 0.0000  6 Tc 2.59-2.65, 3 Ru 2.65-2.79
Tc1 0.1712 0.6712 0.5000  6 Ru 2.59-2.65, 2 Tc 2.79
Tc2 0.6712 0.8288 0.5000  6 Ru 2.59-2.65, 2 Tc 2.79
Tc3 0.8288 0.3288 0.5000  6 Ru 2.59-2.65, 2 Tc 2.79
Tc4 0.3288 0.1712 0.5000  6 Ru 2.59-2.65, 2 Tc 2.79

First-principles (GGA-PBE) data for an optimized crystal structure of Sc2TcRu, as listed in the Alexandria database.

Computed properties:
Crystal system: orthorhombic
Calculated volume, Å³/cell: 67.7
E_form, eV per formula unit: -0.70

a = 2.9432 Å, b = 2.9432 Å, c = 8.4229 Å
α = 90.00°, β = 90.00°, γ = 111.97°
With the nearest neighbours (Å) after each atom.
Fractional coordinates of all 4 atoms:
Ru1 0.5000 0.5000 0.7500  4 Sc 2.64, 4 Ru 2.94
Sc1 0.0000 0.0000 0.9949  2 Ru 2.64, 2 Tc 2.71, 4 Sc 2.94
Sc2 0.0000 0.0000 0.5051  2 Ru 2.64, 2 Tc 2.71, 4 Sc 2.94
Tc1 0.5000 0.5000 0.2500  4 Sc 2.71, 4 Tc 2.94

First-principles (GGA-PBE) data for an optimized crystal structure of Sc5TcRu, as listed in the Alexandria database.

Computed properties:
Crystal system: monoclinic
Calculated volume, Å³/cell: 291.6
E_form, eV per formula unit: -1.31

a = 5.7027 Å, b = 5.7027 Å, c = 8.9797 Å
α = 87.78°, β = 87.78°, γ = 90.81°
With the nearest neighbours (Å) after each atom.
Fractional coordinates of all 14 atoms:
Sc1 0.0597 0.6261 0.1625  1 Ru 2.57, 1 Tc 2.84
Sc2 0.2462 0.4166 0.5096  2 Tc 2.67-2.75, 1 Ru 2.75, 1 Sc 2.99
Sc3 0.6261 0.0597 0.6625  1 Ru 2.57, 1 Tc 2.84
Sc4 0.8568 0.1432 0.2500  2 Ru 2.53, 1 Tc 2.79
Sc5 0.5834 0.7538 0.9904  2 Tc 2.67-2.75, 1 Ru 2.75, 1 Sc 2.99
Sc6 0.4166 0.2462 0.0096  2 Tc 2.67-2.75, 1 Ru 2.75, 1 Sc 2.99
Sc7 0.1432 0.8568 0.7500  2 Ru 2.53, 1 Tc 2.79
Sc8 0.3739 0.9403 0.3375  1 Ru 2.57, 1 Tc 2.84
Sc9 0.7538 0.5834 0.4904  2 Tc 2.67-2.75, 1 Ru 2.75, 1 Sc 2.99
Sc10 0.9403 0.3739 0.8375  1 Ru 2.57, 1 Tc 2.84
Tc1 0.5129 0.4871 0.2500  7 Sc 2.67-2.84
Tc2 0.4871 0.5129 0.7500  7 Sc 2.67-2.84
Ru1 0.0000 0.0000 0.0000  6 Sc 2.53-2.75
Ru2 0.0000 0.0000 0.5000  6 Sc 2.53-2.75

First-principles (GGA-PBE) data for an optimized crystal structure of Sc2TcRu, as listed in the Alexandria database.

Computed properties:
Crystal system: tetragonal
Calculated volume, Å³/cell: 143.0
E_form, eV per formula unit: 1.00

a = 7.1378 Å, b = 7.1378 Å, c = 5.7750 Å
α = 51.83°, β = 51.83°, γ = 90.00°
With the nearest neighbours (Å) after each atom.
Fractional coordinates of all 8 atoms:
Sc1 0.6351 0.1250 0.2500  2 Ru 2.57, 2 Tc 2.67, 2 Sc 2.81
Sc2 0.1149 0.6250 0.2500  2 Ru 2.57, 2 Tc 2.67, 2 Sc 2.81
Sc3 0.3750 0.3649 0.7500  2 Ru 2.57, 2 Tc 2.67, 2 Sc 2.81
Sc4 0.8750 0.8851 0.7500  2 Ru 2.57, 2 Tc 2.67, 2 Sc 2.81
Ru1 0.0000 0.0000 0.0000  4 Sc 2.57, 2 Tc 2.81
Ru2 0.7500 0.2500 0.5000  4 Sc 2.57, 2 Tc 2.81
Tc1 0.5000 0.5000 0.0000  4 Sc 2.67, 2 Ru 2.81
Tc2 0.2500 0.7500 0.5000  4 Sc 2.67, 2 Ru 2.81

First-principles (GGA-PBE) data for an optimized crystal structure of Sc2TcRu, as listed in the Alexandria database.

Computed properties:
Crystal system: trigonal
Calculated volume, Å³/cell: 71.4
E_form, eV per formula unit: 0.87

a = 9.3854 Å, b = 9.3854 Å, c = 9.3854 Å
α = 18.33°, β = 18.33°, γ = 18.33°
With the nearest neighbours (Å) after each atom.
Fractional coordinates of all 4 atoms:
Sc1 0.9077 0.9077 0.9077  1 Tc 2.55, 3 Ru 2.69
Sc2 0.0923 0.0923 0.0923  1 Tc 2.55, 3 Ru 2.69
Ru1 0.5000 0.5000 0.5000  6 Sc 2.69, 6 Ru 2.99
Tc1 0.0000 0.0000 0.0000  2 Sc 2.55

First-principles (GGA-PBE) data for an optimized crystal structure of Sc2TcRu, as listed in the Alexandria database.

Computed properties:
Crystal system: tetragonal
Calculated volume, Å³/cell: 67.4
E_form, eV per formula unit: -1.15

a = 3.2158 Å, b = 3.2158 Å, c = 6.5173 Å
α = 90.00°, β = 90.00°, γ = 90.00°
With the nearest neighbours (Å) after each atom.
Fractional coordinates of all 4 atoms:
Sc1 0.0000 0.0000 0.7554  4 Ru 2.78, 4 Tc 2.82
Sc2 0.0000 0.0000 0.2446  4 Ru 2.78, 4 Tc 2.82
Ru1 0.5000 0.5000 0.0000  8 Sc 2.78
Tc1 0.5000 0.5000 0.5000  8 Sc 2.82